Entry 1:
4
Lattice="2.974 0.000 0.000 -1.484 2.941 0.000 -0.033 -1.793 7.409" Properties=species:S:1:pos:R:3 comment="P3N | Alexandria via LeMat-Bulk | PBE | relaxed" dft_energy_ev_per_atom=-5.830 relative_energy_mev_per_atom=104 formation_energy_uncorrected_ev_per_atom=0.308 total_magnetization_mub_per_cell=0.0 dos_at_fermi_per_ev_cell=0.59 pbc="T T T"
P 0.000 0.000 0.000
P -0.029 0.639 4.254
P 1.458 -0.334 5.514
N 0.004 2.400 0.680

=====

Entry 2:
4
Lattice="3.222 0.000 0.000 -1.534 4.547 0.000 -0.038 -1.402 4.758" Properties=species:S:1:pos:R:3 comment="P3N | Alexandria via LeMat-Bulk | PBE | relaxed" dft_energy_ev_per_atom=-5.852 relative_energy_mev_per_atom=83 formation_energy_uncorrected_ev_per_atom=0.287 total_magnetization_mub_per_cell=0.0 dos_at_fermi_per_ev_cell=1.20 pbc="T T T"
P 0.000 0.000 0.000
P 0.047 -0.217 2.254
P 0.039 1.617 4.415
N 0.036 1.315 2.797

=====

Entry 3:
16
Lattice="4.094 -2.948 0.000 4.094 2.948 0.000 -4.005 0.000 8.333" Properties=species:S:1:pos:R:3 comment="P3N5 | Alexandria via LeMat-Bulk | PBE | relaxed" dft_energy_ev_per_atom=-7.537 relative_energy_mev_per_atom=0 formation_energy_uncorrected_ev_per_atom=-0.305 total_magnetization_mub_per_cell=0.0 dos_at_fermi_per_ev_cell=0.00 pbc="T T T"
P 2.091 2.847 4.167
P 0.214 1.203 5.792
P 3.966 1.203 2.542
P 2.216 -1.203 1.626
P 1.963 -1.203 6.709
P 4.094 -2.847 0.000
N 2.678 -2.091 5.414
N 0.785 2.130 4.662
N 3.400 2.135 3.672
N 4.680 2.091 1.248
N 3.088 0.001 2.087
N 1.085 -0.001 6.254
N 5.595 0.853 2.917
N 2.787 -2.130 0.495
N 1.397 -2.135 7.839
N 3.593 -0.853 7.084

=====

Entry 4:
8
Lattice="8.485 0.000 0.000 0.000 8.485 0.000 0.000 0.000 2.634" Properties=species:S:1:pos:R:3 comment="PN | Alexandria via LeMat-Bulk | PBE | relaxed" dft_energy_ev_per_atom=-6.534 relative_energy_mev_per_atom=352 formation_energy_uncorrected_ev_per_atom=0.333 total_magnetization_mub_per_cell=0.0 pbc="T T T"
P 1.382 1.382 0.000
P 2.860 5.624 1.317
P 5.624 2.860 1.317
P 7.102 7.102 0.000
N 2.083 2.083 1.317
N 2.159 6.325 0.000
N 6.325 2.159 0.000
N 6.401 6.401 1.317

=====

Entry 5:
2
Lattice="2.359 -1.362 0.000 2.359 1.362 0.000 -0.040 0.000 4.952" Properties=species:S:1:pos:R:3 comment="PN | Alexandria via LeMat-Bulk | PBE | relaxed" dft_energy_ev_per_atom=-6.585 relative_energy_mev_per_atom=301 formation_energy_uncorrected_ev_per_atom=0.282 total_magnetization_mub_per_cell=0.0 dos_at_fermi_per_ev_cell=0.00 pbc="T T T"
P 0.000 0.000 0.000
N 1.573 0.000 0.868

=====

Entry 6:
4
Lattice="3.267 1.886 1.693 -3.267 1.886 1.693 0.000 -3.773 1.693" Properties=species:S:1:pos:R:3 comment="P3N | Alexandria via LeMat-Bulk | PBE | relaxed" dft_energy_ev_per_atom=-5.935 relative_energy_mev_per_atom=0 formation_energy_uncorrected_ev_per_atom=0.204 total_magnetization_mub_per_cell=0.0 pbc="T T T"
P -1.355 -1.060 1.693
P -0.240 1.704 1.693
P 1.595 -0.644 1.693
N 0.000 0.000 1.306

=====

Entry 7:
4
Lattice="4.128 0.000 0.000 -2.064 3.575 0.000 0.000 0.000 4.634" Properties=species:S:1:pos:R:3 comment="PN | Alexandria via LeMat-Bulk | PBE | relaxed" dft_energy_ev_per_atom=-6.065 relative_energy_mev_per_atom=821 formation_energy_uncorrected_ev_per_atom=0.803 total_magnetization_mub_per_cell=0.0 pbc="T T T"
P 0.000 2.383 0.000
P 2.064 1.192 2.317
N 0.000 2.383 3.088
N 2.064 1.192 0.771

=====

Entry 8:
4
Lattice="5.192 -1.326 0.000 5.192 1.326 0.000 -4.634 0.000 5.293" Properties=species:S:1:pos:R:3 comment="P3N | Alexandria via LeMat-Bulk | PBE | relaxed" dft_energy_ev_per_atom=-5.927 relative_energy_mev_per_atom=7 formation_energy_uncorrected_ev_per_atom=0.211 total_magnetization_mub_per_cell=0.0 dos_at_fermi_per_ev_cell=0.69 pbc="T T T"
P 0.000 0.000 0.000
P -1.184 0.000 1.983
P 7.047 0.000 1.990
N 6.244 0.000 0.392

=====

Entry 9:
4
Lattice="3.500 0.000 0.000 0.112 4.432 0.000 1.688 1.513 4.538" Properties=species:S:1:pos:R:3 comment="P3N | Alexandria via LeMat-Bulk | PBE | relaxed" dft_energy_ev_per_atom=-5.875 relative_energy_mev_per_atom=59 formation_energy_uncorrected_ev_per_atom=0.264 total_magnetization_mub_per_cell=0.0 pbc="T T T"
P 0.000 0.000 0.000
P 0.781 3.447 1.895
P 3.532 5.342 3.204
N 3.413 2.093 2.091

=====

Entry 10:
4
Lattice="4.106 0.000 0.000 0.000 1.306 5.600 0.000 -1.306 5.600" Properties=species:S:1:pos:R:3 comment="P3N | Alexandria via LeMat-Bulk | PBE | relaxed" dft_energy_ev_per_atom=-5.858 relative_energy_mev_per_atom=76 formation_energy_uncorrected_ev_per_atom=0.281 total_magnetization_mub_per_cell=0.0 dos_at_fermi_per_ev_cell=0.76 pbc="T T T"
P 0.000 0.000 0.000
P 0.000 0.000 2.721
P 2.053 0.000 1.365
N 0.000 0.000 4.472

=====

Entry 11:
4
Lattice="4.928 -1.476 0.000 4.928 1.476 0.000 -0.507 0.000 4.986" Properties=species:S:1:pos:R:3 comment="P3N | Alexandria via LeMat-Bulk | PBE | relaxed" dft_energy_ev_per_atom=-5.820 relative_energy_mev_per_atom=115 formation_energy_uncorrected_ev_per_atom=0.319 total_magnetization_mub_per_cell=0.0 pbc="T T T"
P 0.000 0.000 0.000
P 5.228 0.000 3.616
P 7.623 0.000 0.108
N 2.576 0.000 0.899

=====

Entry 12:
8
Lattice="-5.009 5.009 1.348 5.009 -5.009 1.348 5.009 5.009 -1.348" Properties=species:S:1:pos:R:3 comment="PN | Alexandria via LeMat-Bulk | PBE | relaxed" dft_energy_ev_per_atom=-6.886 relative_energy_mev_per_atom=0 formation_energy_uncorrected_ev_per_atom=-0.019 total_magnetization_mub_per_cell=0.0 dos_at_fermi_per_ev_cell=0.00 pbc="T T T"
P 6.982 0.449 0.000
P 0.449 3.036 0.000
P 4.560 1.973 1.348
P -1.973 4.560 1.348
N 3.828 1.184 0.000
N 3.825 -1.181 1.348
N 1.184 6.190 0.000
N 1.181 3.825 1.348